1.
A plane-wave DFT calculation with PBE was carried out for Cs2SiSeCl6 after structural relaxation.

abc: 7.9301 7.9301 7.4817
angles: 58.00 58.00 90.00
Element x y z (fractional)
Cl 0.3020 0.6980 0.0000
Cl 0.2558 0.2558 0.4884
Cl 0.6980 0.3020 0.0000
Cl 0.3020 0.3020 0.0000
Cl 0.7442 0.7442 0.5116
Cl 0.6980 0.6980 0.0000
Cs 0.2500 0.7500 0.5000
Cs 0.7500 0.2500 0.5000
Se 0.0000 0.0000 0.0000
Si 0.5000 0.5000 0.0000

* size of the total moment: 0.0 Bohr magnetons per cell
* total energy: -3.2924 eV/atom

---

2.
A plane-wave DFT calculation with PBE was carried out for Cs5SiSe4Cl2 after structural relaxation.

abc: 8.5462 7.2870 10.5314
angles: 90.00 90.00 125.90
Each line ends with the local moment (μB).
Element x y z (fractional)
Cs 0.7118 0.5997 0.2427  0.00
Cs 0.4235 0.0000 0.5000  0.00
Cs 0.1120 0.4003 0.2427  0.00
Cs 0.7118 0.5997 0.7573  0.00
Cs 0.1120 0.4003 0.7573  0.00
Se 0.3532 0.2638 0.0000  0.29
Se 0.5690 0.0000 0.1792  0.01
Se 0.0893 0.7362 0.0000  0.29
Se 0.5690 0.0000 0.8208  0.01
Cl 0.9341 0.5371 0.5000  0.00
Cl 0.3971 0.4629 0.5000  0.00
Si 0.4228 0.0000 0.0000  -0.01

* size of the total moment: 1.1 Bohr magnetons per cell
* total energy: -3.5292 eV/atom

---

3.
A plane-wave DFT calculation with PBE was carried out for CsSmSeCl2 after structural relaxation.

abc: 4.2606 9.8437 8.4341
angles: 90.00 90.00 102.50
Element x y z (fractional)
Se 0.5078 0.0156 0.7500
Se 0.4922 0.9844 0.2500
Cs 0.7102 0.4204 0.7500
Cs 0.2898 0.5796 0.2500
Cl 0.1397 0.2794 0.4814
Cl 0.8603 0.7206 0.5186
Cl 0.8603 0.7206 0.9814
Cl 0.1397 0.2794 0.0186
Sm 0.0000 0.0000 0.0000
Sm 0.0000 0.0000 0.5000

* size of the total moment: 0.0 Bohr magnetons per cell
* total energy: -4.5442 eV/atom

---

4.
A plane-wave DFT calculation with PBE was carried out for Cs2SnSeCl6 after structural relaxation.

abc: 7.4029 7.4029 8.3166
angles: 63.57 63.57 90.00
Element x y z (fractional)
Cl 0.2630 0.2630 0.0000
Cl 0.7370 0.2630 0.0000
Cl 0.7896 0.7896 0.4209
Cl 0.2630 0.7370 0.0000
Cl 0.2104 0.2104 0.5791
Cl 0.7370 0.7370 0.0000
Cs 0.7500 0.2500 0.5000
Cs 0.2500 0.7500 0.5000
Se 0.5000 0.5000 0.0000
Sn 0.0000 0.0000 0.0000

* size of the total moment: 0.0 Bohr magnetons per cell
* total energy: -3.1914 eV/atom

---

5.
A plane-wave DFT calculation with PBE was carried out for CsSrSeCl after structural relaxation.

abc: 4.5671 4.5670 8.7094
angles: 90.01 105.19 119.99
Element x y z (fractional)
Sr 0.3141 0.5549 0.8843
Se 0.1024 0.9491 0.0667
Cs 0.9585 0.3774 0.3511
Cl 0.5029 0.1494 0.6675

* size of the total moment: 0.0 Bohr magnetons per cell
* total energy: -3.8606 eV/atom

---

6.
A plane-wave DFT calculation with PBE was carried out for Cs2SrSeCl6 after structural relaxation.

abc: 7.5210 7.5210 8.5209
angles: 63.81 63.81 90.00
Element x y z (fractional)
Cl 0.2115 0.2115 0.5769
Cl 0.7885 0.7885 0.4231
Cl 0.2705 0.7295 0.0000
Cl 0.2705 0.2705 0.0000
Cl 0.7295 0.2705 0.0000
Cl 0.7295 0.7295 0.0000
Cs 0.7500 0.2500 0.5000
Cs 0.2500 0.7500 0.5000
Sr 0.0000 0.0000 0.0000
Se 0.5000 0.5000 0.0000

* size of the total moment: 0.0 Bohr magnetons per cell
* total energy: -3.3491 eV/atom

---

7.
A plane-wave DFT calculation with PBE was carried out for Cs2TcSeCl6 after structural relaxation.

abc: 7.3205 7.3205 7.8918
angles: 62.37 62.37 90.00
Each line ends with the local moment (μB).
Element x y z (fractional)
Cs 0.7500 0.2500 0.5000  0.00
Cs 0.2500 0.7500 0.5000  0.00
Cl 0.7639 0.7639 0.0000  0.04
Cl 0.2006 0.2006 0.5989  0.04
Cl 0.7994 0.7994 0.4011  0.04
Cl 0.2361 0.7639 0.0000  0.04
Cl 0.7639 0.2361 0.0000  0.04
Cl 0.2361 0.2361 0.0000  0.04
Tc 0.0000 0.0000 0.0000  2.45
Se 0.5000 0.5000 0.0000  0.07

* size of the total moment: 3.2 Bohr magnetons per cell
* total energy: -3.6471 eV/atom

---

8.
A plane-wave DFT calculation with PBE was carried out for CsTiSeCl2 after structural relaxation.

abc: 5.1813 5.1813 5.0176
angles: 90.00 90.00 90.00
Each line ends with the local moment (μB).
Element x y z (fractional)
Cs 0.5000 0.5000 0.5000  0.00
Se 0.0000 0.0000 0.5000  -0.08
Cl 0.5000 0.0000 0.0000  -0.01
Cl 0.0000 0.5000 0.0000  -0.01
Ti 0.0000 0.0000 0.0000  0.97

* size of the total moment: 1.0 Bohr magnetons per cell
* total energy: -4.6222 eV/atom

---

9.
A plane-wave DFT calculation with PBE was carried out for Cs2TiSeCl6 after structural relaxation.

abc: 8.3795 8.3795 7.6341
angles: 56.71 56.71 90.00
Element x y z (fractional)
Cs 0.2500 0.7500 0.5000
Cs 0.7500 0.2500 0.5000
Se 0.0000 0.0000 0.0000
Cl 0.7479 0.7479 0.5042
Cl 0.7003 0.2997 0.0000
Cl 0.2997 0.7003 0.0000
Cl 0.2521 0.2521 0.4958
Cl 0.7003 0.7003 0.0000
Cl 0.2997 0.2997 0.0000
Ti 0.5000 0.5000 0.0000

* size of the total moment: 0.0 Bohr magnetons per cell
* total energy: -3.8189 eV/atom

---

10.
A plane-wave DFT calculation with PBE was carried out for CsTl2SeCl after structural relaxation.

abc: 4.4447 8.3562 10.5186
angles: 89.97 90.00 90.00
Element x y z (fractional)
Cs 0.2500 0.7659 0.0006
Cs 0.7500 0.2341 0.9994
Tl 0.7500 0.3225 0.6138
Tl 0.7500 0.8670 0.6271
Tl 0.2500 0.1330 0.3729
Tl 0.2500 0.6775 0.3862
Se 0.2500 0.0938 0.7231
Se 0.7500 0.9062 0.2769
Cl 0.7500 0.5691 0.8213
Cl 0.2500 0.4309 0.1787

* size of the total moment: 0.0 Bohr magnetons per cell
* total energy: -3.0897 eV/atom

---

11.
A plane-wave DFT calculation with PBE was carried out for CsUSeCl2 after structural relaxation.

abc: 4.2594 9.9510 8.1527
angles: 90.00 90.00 102.36
Each line ends with the local moment (μB).
Element x y z (fractional)
Cl 0.1391 0.2783 0.4771  -0.01
Cl 0.8609 0.7217 0.9771  -0.01
Cl 0.8609 0.7217 0.5229  -0.01
Cl 0.1391 0.2783 0.0229  -0.01
Se 0.4913 0.9827 0.2500  -0.07
Se 0.5087 0.0173 0.7500  -0.07
Cs 0.2915 0.5830 0.2500  0.00
Cs 0.7085 0.4170 0.7500  0.00
U 0.0000 0.0000 0.0000  2.67
U 0.0000 0.0000 0.5000  2.67

* size of the total moment: 5.7 Bohr magnetons per cell
* total energy: -5.4366 eV/atom

---

12.
A plane-wave DFT calculation with PBE was carried out for Cs2VSeCl6 after structural relaxation.

abc: 8.2147 8.2147 7.5534
angles: 57.06 57.06 90.00
Each line ends with the local moment (μB).
Element x y z (fractional)
Cl 0.2973 0.2973 0.0000  -0.02
Cl 0.2487 0.2487 0.5026  -0.05
Cl 0.2973 0.7027 0.0000  -0.02
Cl 0.7027 0.2973 0.0000  -0.02
Cl 0.7027 0.7027 0.0000  -0.02
Cl 0.7513 0.7513 0.4974  -0.05
Cs 0.2500 0.7500 0.5000  0.00
Cs 0.7500 0.2500 0.5000  0.00
V 0.5000 0.5000 0.0000  1.63
Se 0.0000 0.0000 0.0000  -0.38

* size of the total moment: 1.0 Bohr magnetons per cell
* total energy: -3.7456 eV/atom

---

Please write out number 4 again, unchanged.
A plane-wave DFT calculation with PBE was carried out for Cs2SnSeCl6 after structural relaxation.

abc: 7.4029 7.4029 8.3166
angles: 63.57 63.57 90.00
Element x y z (fractional)
Cl 0.2630 0.2630 0.0000
Cl 0.7370 0.2630 0.0000
Cl 0.7896 0.7896 0.4209
Cl 0.2630 0.7370 0.0000
Cl 0.2104 0.2104 0.5791
Cl 0.7370 0.7370 0.0000
Cs 0.7500 0.2500 0.5000
Cs 0.2500 0.7500 0.5000
Se 0.5000 0.5000 0.0000
Sn 0.0000 0.0000 0.0000

* size of the total moment: 0.0 Bohr magnetons per cell
* total energy: -3.1914 eV/atom